First-principles (GGA-PBE) data for a relaxed Th5C4N crystal, as listed in OQMD via LeMat-Bulk.

Calculated values
SG = I4/mmm
uncorrected energy = -8.78 eV per atom

a b c (Å): 13.672 13.672 13.672
angles (deg): 164.26 164.26 22.33
Fractional coordinates of all 10 atoms:
Th1 0.000 0.000 0.000
Th2 0.201 0.201 0.000
Th3 0.400 0.400 0.000
Th4 0.600 0.600 0.000
Th5 0.799 0.799 0.000
C1 0.095 0.095 0.000
C2 0.302 0.302 0.000
C3 0.698 0.698 0.000
C4 0.905 0.905 0.000
N1 0.500 0.500 0.000

=====

First-principles (GGA-PBE) data for a relaxed Tl2W8C3N3 crystal, as listed in OQMD via LeMat-Bulk.

Calculated values
SG = P-3m1
uncorrected energy = -9.66 eV per atom

a b c (Å): 3.159 3.159 23.866
angles (deg): 90.00 90.00 120.00
Fractional coordinates of all 16 atoms:
Tl1 0.333 0.667 0.251
Tl2 0.667 0.333 0.749
W1 0.000 0.000 0.148
W2 0.000 0.000 0.351
W3 0.000 0.000 0.649
W4 0.000 0.000 0.852
W5 0.333 0.667 0.056
W6 0.333 0.667 0.454
W7 0.667 0.333 0.546
W8 0.667 0.333 0.944
C1 0.000 0.000 0.000
C2 0.333 0.667 0.893
C3 0.667 0.333 0.107
N1 0.000 0.000 0.500
N2 0.333 0.667 0.599
N3 0.667 0.333 0.401

=====

First-principles (GGA-PBE) data for a relaxed Zr3TlCN crystal, as listed in OQMD via LeMat-Bulk.

Calculated values
SG = P-3m1
uncorrected energy = -8.54 eV per atom

a b c (Å): 3.358 3.358 20.177
angles (deg): 90.00 90.00 120.00
Fractional coordinates of all 12 atoms:
Zr1 0.000 0.000 0.000
Zr2 0.000 0.000 0.500
Zr3 0.333 0.667 0.123
Zr4 0.333 0.667 0.373
Zr5 0.667 0.333 0.627
Zr6 0.667 0.333 0.877
Tl1 0.000 0.000 0.247
Tl2 0.000 0.000 0.753
C1 0.333 0.667 0.570
C2 0.667 0.333 0.430
N1 0.333 0.667 0.934
N2 0.667 0.333 0.066

=====

First-principles (GGA-PBE) data for a relaxed Zr4Tl2CN crystal, as listed in OQMD via LeMat-Bulk.

Calculated values
SG = P-3m1
uncorrected energy = -7.86 eV per atom

a b c (Å): 3.376 3.376 14.879
angles (deg): 90.00 90.00 120.00
Fractional coordinates of all 8 atoms:
Zr1 0.333 0.667 0.081
Zr2 0.333 0.667 0.417
Zr3 0.667 0.333 0.583
Zr4 0.667 0.333 0.919
Tl1 0.333 0.667 0.752
Tl2 0.667 0.333 0.248
C1 0.000 0.000 0.500
N1 0.000 0.000 0.000

=====

First-principles (GGA-PBE) data for a relaxed U3CN2 crystal, as listed in OQMD via LeMat-Bulk.

Calculated values
SG = Immm
uncorrected energy = -10.88 eV per atom

a b c (Å): 3.469 4.884 10.319
angles (deg): 90.00 90.00 90.00
Fractional coordinates of all 12 atoms:
U1 0.000 0.000 0.000
U2 0.000 0.000 0.331
U3 0.000 0.000 0.669
U4 0.500 0.500 0.169
U5 0.500 0.500 0.500
U6 0.500 0.500 0.831
C1 0.000 0.500 0.000
C2 0.500 0.000 0.500
N1 0.000 0.500 0.335
N2 0.000 0.500 0.665
N3 0.500 0.000 0.165
N4 0.500 0.000 0.835

=====

First-principles (GGA-PBE) data for a relaxed Zn2W4CN crystal, as listed in OQMD via LeMat-Bulk.

Calculated values
SG = P-3m1
uncorrected energy = -8.87 eV per atom

a b c (Å): 2.875 2.875 14.548
angles (deg): 90.00 90.00 120.00
Fractional coordinates of all 8 atoms:
Zn1 0.333 0.667 0.252
Zn2 0.667 0.333 0.748
W1 0.333 0.667 0.593
W2 0.333 0.667 0.902
W3 0.667 0.333 0.098
W4 0.667 0.333 0.407
C1 0.000 0.000 0.500
N1 0.000 0.000 0.000

=====

First-principles (GGA-PBE) data for a relaxed Y8Zn2C3N3 crystal, as listed in OQMD via LeMat-Bulk.

Calculated values
SG = P-3m1
uncorrected energy = -7.39 eV per atom

a b c (Å): 3.533 3.533 26.601
angles (deg): 90.00 90.00 120.00
Fractional coordinates of all 16 atoms:
Y1 0.000 0.000 0.155
Y2 0.000 0.000 0.338
Y3 0.000 0.000 0.662
Y4 0.000 0.000 0.845
Y5 0.333 0.667 0.556
Y6 0.333 0.667 0.949
Y7 0.667 0.333 0.051
Y8 0.667 0.333 0.444
Zn1 0.333 0.667 0.758
Zn2 0.667 0.333 0.242
C1 0.000 0.000 0.500
C2 0.333 0.667 0.383
C3 0.667 0.333 0.617
N1 0.000 0.000 0.000
N2 0.333 0.667 0.108
N3 0.667 0.333 0.892

=====

First-principles (GGA-PBE) data for a relaxed ZnC4N6 crystal, as listed in OQMD via LeMat-Bulk.

Calculated values
SG = Pnma
uncorrected energy = -7.78 eV per atom

a b c (Å): 7.644 7.584 11.505
angles (deg): 90.00 90.00 90.00
Fractional coordinates of all 44 atoms:
Zn1 0.230 0.250 0.152
Zn2 0.270 0.750 0.652
Zn3 0.730 0.250 0.348
Zn4 0.770 0.750 0.848
C1 0.079 0.250 0.481
C2 0.123 0.750 0.977
C3 0.222 0.100 0.776
C4 0.222 0.400 0.776
C5 0.278 0.600 0.276
C6 0.278 0.900 0.276
C7 0.377 0.250 0.477
C8 0.421 0.750 0.981
C9 0.579 0.250 0.019
C10 0.623 0.750 0.523
C11 0.722 0.100 0.724
C12 0.722 0.400 0.724
C13 0.778 0.600 0.224
C14 0.778 0.900 0.224
C15 0.877 0.250 0.023
C16 0.921 0.750 0.519
N1 0.020 0.250 0.060
N2 0.068 0.750 0.551
N3 0.162 0.250 0.808
N4 0.229 0.250 0.530
N5 0.234 0.045 0.255
N6 0.234 0.455 0.255
N7 0.266 0.545 0.755
N8 0.266 0.955 0.755
N9 0.271 0.750 0.030
N10 0.338 0.750 0.308
N11 0.432 0.250 0.051
N12 0.480 0.750 0.560
N13 0.520 0.250 0.440
N14 0.568 0.750 0.949
N15 0.662 0.250 0.692
N16 0.729 0.250 0.970
N17 0.734 0.045 0.245
N18 0.734 0.455 0.245
N19 0.766 0.545 0.745
N20 0.766 0.955 0.745
N21 0.771 0.750 0.470
N22 0.838 0.750 0.192
N23 0.932 0.250 0.449
N24 0.980 0.750 0.940

=====

First-principles (GGA-PBE) data for a relaxed Zr4Zn2CN crystal, as listed in OQMD via LeMat-Bulk.

Calculated values
SG = P-3m1
uncorrected energy = -7.50 eV per atom

a b c (Å): 3.304 3.304 14.250
angles (deg): 90.00 90.00 120.00
Fractional coordinates of all 8 atoms:
Zr1 0.333 0.667 0.089
Zr2 0.333 0.667 0.413
Zr3 0.667 0.333 0.587
Zr4 0.667 0.333 0.911
Zn1 0.333 0.667 0.747
Zn2 0.667 0.333 0.253
C1 0.000 0.000 0.000
N1 0.000 0.000 0.500

=====

First-principles (GGA-PBE) data for a relaxed Zr2CN crystal, as listed in OQMD via LeMat-Bulk.

Calculated values
SG = P4/mmm
uncorrected energy = -9.95 eV per atom

a b c (Å): 3.298 3.298 4.662
angles (deg): 90.00 90.00 90.00
Fractional coordinates of all 4 atoms:
Zr1 0.000 0.000 0.000
Zr2 0.500 0.500 0.500
C1 0.000 0.000 0.500
N1 0.500 0.500 0.000

=====

First-principles (GGA-PBE) data for a relaxed Zr3C2N crystal, as listed in OQMD via LeMat-Bulk.

Calculated values
distance to the lowest polymorph of the same formula = 0 meV per atom
SG = C2/c

a b c (Å): 5.734 5.734 5.734
angles (deg): 99.62 99.62 120.01
Fractional coordinates of all 12 atoms:
Zr1 0.000 0.500 0.500
Zr2 0.165 0.333 0.001
Zr3 0.333 0.165 0.501
Zr4 0.500 0.000 0.000
Zr5 0.667 0.835 0.499
Zr6 0.835 0.667 0.999
C1 0.084 0.916 0.750
C2 0.250 0.750 0.250
C3 0.750 0.250 0.750
C4 0.916 0.084 0.250
N1 0.415 0.585 0.750
N2 0.585 0.415 0.250

=====

First-principles (GGA-PBE) data for a relaxed Zr4CN3 crystal, as listed in OQMD via LeMat-Bulk.

Calculated values
SG = Pm-3m
uncorrected energy = -10.04 eV per atom

a b c (Å): 4.630 4.630 4.630
angles (deg): 90.00 90.00 90.00
Fractional coordinates of all 8 atoms:
Zr1 0.000 0.000 0.000
Zr2 0.000 0.500 0.500
Zr3 0.500 0.000 0.500
Zr4 0.500 0.500 0.000
C1 0.500 0.500 0.500
N1 0.000 0.000 0.500
N2 0.000 0.500 0.000
N3 0.500 0.000 0.000